# 1
## LaAlCuNi (PBE)

Data for a geometry-optimized LaAlCuNi structure.

a b c (Å): 4.2755 4.2780 5.4701
angles (deg): 112.95 90.00 119.98
With the nearest neighbours (Å) after each atom.
Sites, in units of the cell vectors:
Cu 0.4178 0.8356 0.8953  3 Al 2.53, 3 Ni 2.61
Al 0.1233 0.2465 0.0120  3 Ni 2.48-2.49, 3 Cu 2.53
Ni 0.8089 0.6179 0.0691  3 Al 2.48-2.49, 3 Cu 2.61
La 0.6163 0.2326 0.4909  1 Ni 2.82, 2 Cu 2.91-3.16

Results
spin magnetization = 0.00 Bohr magnetons per cell
energy relative to the elements = -0.43 eV/atom
space-group type = Cm

# 2
## LiZn5Pd6 (PBE)

Data for a geometry-optimized LiZn5Pd6 structure.

a b c (Å): 4.3948 7.5564 7.5564
angles (deg): 121.85 106.79 106.79
With the nearest neighbours (Å) after each atom.
Sites, in units of the cell vectors:
Zn 0.0000 0.6662 0.3338  8 Pd 2.64-2.65, 2 Zn 2.95
Zn 0.5000 0.8363 0.1637  8 Pd 2.62-2.67
Zn 0.5000 0.1637 0.8363  8 Pd 2.62-2.67
Zn 0.5000 0.5000 0.5000  8 Pd 2.64-2.66, 2 Li 2.95
Zn 0.0000 0.3338 0.6662  8 Pd 2.64-2.65, 2 Zn 2.95
Li 0.0000 0.0000 0.0000  8 Pd 2.64-2.66, 2 Zn 2.95
Pd 0.2506 0.0831 0.4180  7 Zn 2.64-2.67, 1 Li 2.66, 1 Pd 2.95
Pd 0.7511 0.2510 0.2510  6 Zn 2.62-2.65, 2 Li 2.64-2.66
Pd 0.2489 0.7490 0.7490  6 Zn 2.62-2.65, 2 Li 2.64-2.66
Pd 0.7494 0.9169 0.5820  7 Zn 2.64-2.67, 1 Li 2.66, 1 Pd 2.95
Pd 0.7494 0.5820 0.9169  7 Zn 2.64-2.67, 1 Li 2.66, 1 Pd 2.95
Pd 0.2506 0.4180 0.0831  7 Zn 2.64-2.67, 1 Li 2.66, 1 Pd 2.95

Results
spin magnetization = 0.00 Bohr magnetons per cell
energy relative to the elements = -0.56 eV/atom
space-group type = C2/m

# 3
## PmHoGaNi (PBE)

Data for a geometry-optimized PmHoGaNi structure.

a b c (Å): 3.8080 4.3139 5.8337
angles (deg): 90.00 109.05 90.00
With the nearest neighbours (Å) after each atom.
Sites, in units of the cell vectors:
Ho 0.8595 0.5000 0.7191  3 Ga 2.96-3.25, 4 Ni 2.98
Ni 0.4297 0.0000 0.8595  2 Ga 2.62
Ga 0.5650 0.5000 0.1301  2 Ni 2.62
Pm 0.1457 0.0000 0.2914  4 Ga 3.01, 3 Ni 3.05-3.13

Results
spin magnetization = 0.00 Bohr magnetons per cell
energy relative to the elements = -0.46 eV/atom
space-group type = Amm2
polymorph energy (0 for the lowest one) = 0.00 kJ per mole of atoms

# 4
## Np2VAs3 (PBE)

Data for a geometry-optimized Np2VAs3 structure.

a b c (Å): 5.6433 7.9763 6.7671
angles (deg): 107.13 114.64 90.00
With the nearest neighbours (Å) after each atom.
Sites, in units of the cell vectors:
As 0.1460 0.5730 0.2920  2 V 2.62, 4 Np 2.84-2.90
As 0.1460 0.0730 0.2920  2 V 2.62, 4 Np 2.84-2.90
As 0.5000 0.7500 0.0000  2 V 2.82, 4 Np 2.83
As 0.8540 0.4270 0.7080  2 V 2.62, 4 Np 2.84-2.90
As 0.8540 0.9270 0.7080  2 V 2.62, 4 Np 2.84-2.90
As 0.5000 0.2500 0.0000  2 V 2.82, 4 Np 2.83
Np 0.6726 0.0863 0.3452  6 As 2.83-2.90
Np 0.3274 0.9137 0.6548  6 As 2.83-2.90
Np 0.3274 0.4137 0.6548  6 As 2.83-2.90
Np 0.6726 0.5863 0.3452  6 As 2.83-2.90
V 0.9999 0.7500 0.0000  6 As 2.62-2.82
V 0.0001 0.2500 0.0000  6 As 2.62-2.82

Results
spin magnetization = 19.04 Bohr magnetons per cell
energy relative to the elements = -0.48 eV/atom
space-group type = Immm

# 5
## LiTlPCl2 (PBE)

Data for a geometry-optimized LiTlPCl2 structure.

a b c (Å): 5.6655 5.6655 5.2016
angles (deg): 90.00 90.00 90.00
With the nearest neighbours (Å) after each atom.
Sites, in units of the cell vectors:
P 0.0000 0.0000 0.5000  2 Tl 2.60
Cl 0.0000 0.5000 0.0000  2 Tl 2.83
Cl 0.5000 0.0000 0.0000  2 Tl 2.83
Li 0.5000 0.5000 0.5000  8 Cl 3.85, 4 P 4.01
Tl 0.0000 0.0000 0.0000  2 P 2.60, 4 Cl 2.83

Results
spin magnetization = 1.69 Bohr magnetons per cell
uncorrected formation energy = -65 kJ/mol of formula units
space-group type = P4/mmm
polymorph energy (0 for the lowest one) = 17.86 kJ per mole of atoms

# 6
## LiMgCo2 (PBE)

Data for a geometry-optimized LiMgCo2 structure.

a b c (Å): 4.4166 4.4166 4.8035
angles (deg): 82.31 82.31 34.85
With the nearest neighbours (Å) after each atom.
Sites, in units of the cell vectors:
Co 0.0072 0.0072 0.9539  5 Co 2.43-2.64, 2 Li 2.52, 1 Mg 2.71
Co 0.7429 0.7429 0.7802  5 Co 2.43-2.64, 3 Li 2.62-2.67, 2 Mg 2.65
Li 0.4934 0.4934 0.5110  3 Mg 2.49-2.72, 5 Co 2.52-2.67, 2 Li 2.64
Mg 0.2564 0.2564 0.2549  3 Li 2.49-2.72, 2 Mg 2.64, 5 Co 2.65-2.73

Results
spin magnetization = 2.72 Bohr magnetons per cell
energy relative to the elements = 0.18 eV/atom
space-group type = Cm